A plane-wave DFT calculation with PBE was carried out for crystalline CaLaGaO4 at its relaxed geometry.

Properties
ΔE to the lowest computed polymorph: 0 meV/atom
N(E_F): 0.000 states/eV per cell
Final energy: -198.321 eV per cell

Cell: 11.8977 6.8909 5.3925 Å, 90.00 90.00 90.00°
With the nearest neighbours (Å) after each atom.
Space group Pnma (No. 62)
One atom of each set of equivalent atoms:
Ca  0.0000  0.0000  0.0000 x4  6 O 2.36-2.43
La  0.2202  0.2500  0.4904 x4  6 O 2.37-2.52
Ga  0.0900  0.7500  0.4334 x4  4 O 1.83-1.91
O  0.0521  0.2500  0.7247 x4  1 Ga 1.89
O  0.0920  0.7500  0.7733 x4  1 Ga 1.83
O  0.1621  0.5383  0.2705 x8  1 Ga 1.91

A plane-wave DFT calculation with PBE was carried out for crystalline CaLaGa3O7 at its relaxed geometry.

Properties
N(E_F): 0.000 states/eV per cell
Final energy: -319.902 eV per cell

Cell: 11.2547 11.4489 5.3231 Å, 90.00 90.00 90.00°
With the nearest neighbours (Å) after each atom.
Space group Cmm2 (No. 35)
One atom of each set of equivalent atoms:
Ca  0.1589  0.0000  0.0000 x4  6 O 2.45-2.58
La  0.0000  0.3357  0.0305 x4  6 O 2.46-2.62
Ga  0.0000  0.1406  0.4853 x4  4 O 1.82-1.88
Ga  0.1474  0.5000  0.5547 x4  4 O 1.82-1.88
Ga  0.2500  0.2500  0.5304 x4  4 O 1.85
O  0.0000  0.0000  0.3138 x2  2 Ga 1.85
O  0.0000  0.1409  0.8269 x4  1 Ga 1.82
O  0.0000  0.5000  0.7193 x2  2 Ga 1.88
O  0.1235  0.2193  0.3179 x8  2 Ga 1.85-1.88
O  0.1373  0.5000  0.2131 x4  1 Ga 1.82
O  0.2143  0.3758  0.7356 x8  2 Ga 1.85-1.87

A plane-wave DFT calculation with PBE was carried out for crystalline CaLaGaO4 at its relaxed geometry.

Properties
ΔE to the lowest computed polymorph: 106 meV/atom
N(E_F): 0.000 states/eV per cell
Final energy: -97.682 eV per cell

Cell: 3.8347 3.8347 12.4536 Å, 90.00 90.00 90.00°
With the nearest neighbours (Å) after each atom.
Space group I4mm (No. 107)
One atom of each set of equivalent atoms:
Ca  0.0000  0.0000  0.0000 x2  1 O 2.29
La  0.0000  0.0000  0.7136 x2  1 O 2.32
Ga  0.0000  0.0000  0.3688 x2  5 O 1.93-1.98
O  0.0000  0.0000  0.1835 x2  1 Ca 2.29, 1 Ga 2.31
O  0.0000  0.0000  0.5274 x2  1 Ga 1.98
O  0.0000  0.5000  0.3550 x4  2 Ga 1.93

A plane-wave DFT calculation with PBE was carried out for crystalline CaLaGaO4 at its relaxed geometry.

Properties
ΔE to the lowest computed polymorph: 266 meV/atom
N(E_F): 0.000 states/eV per cell
Final energy: -190.876 eV per cell

Cell: 6.5433 6.8249 9.3599 Å, 90.00 90.00 90.00°
With the nearest neighbours (Å) after each atom.
Space group Imma (No. 74)
One atom of each set of equivalent atoms:
Ca  0.2500  0.2500  0.2500 x4  6 O 2.38-2.43
La  0.0000  0.0000  0.0000 x4  6 O 2.40-2.42
Ga  0.0000  0.2500  0.6277 x4  4 O 1.94-1.95
O  0.0000  0.0124  0.7434 x8  1 Ga 1.95
O  0.2386  0.2500  0.5039 x8  1 Ga 1.94

A plane-wave DFT calculation with PBE was carried out for crystalline Ca2LaGaO at its relaxed geometry.

Properties
N(E_F): 1.395 states/eV per cell
Final energy: -23.872 eV per cell

Cell: 4.8089 4.8089 5.0440 Å, 90.00 90.00 90.00°
With the nearest neighbours (Å) after each atom.
Space group P4/mmm (No. 123)
One atom of each set of equivalent atoms:
Ca  0.0000  0.5000  0.0000 x2  2 O 2.40
La  0.0000  0.0000  0.5000 x1  2 O 2.52
Ga  0.5000  0.5000  0.5000 x1  4 La 3.40, 8 Ca 3.48
O  0.0000  0.0000  0.0000 x1  4 Ca 2.40, 2 La 2.52

A plane-wave DFT calculation with PBE was carried out for crystalline CaLaGaPd at its relaxed geometry.

Properties
ΔE to the lowest computed polymorph: 37 meV/atom
N(E_F): 15.402 states/eV per cell
Final energy: -70.109 eV per cell
Formation energy: -595 meV/atom

Cell: 7.3459 7.3459 7.3459 Å, 90.00 90.00 90.00°
With the nearest neighbours (Å) after each atom.
Space group F-43m (No. 216)
One atom of each set of equivalent atoms:
Ca  0.0000  0.0000  0.0000 x4  4 Pd 3.18, 4 Ga 3.18
La  0.0000  0.0000  0.5000 x4  4 Ga 3.18, 4 Pd 3.18
Ga  0.2500  0.2500  0.7500 x4  4 Ca 3.18, 4 La 3.18
Pd  0.2500  0.2500  0.2500 x4  4 La 3.18, 4 Ca 3.18